Record 1
Crystalline Hf2Mg3Ti2 at its relaxed geometry. Source: Alexandria via LeMat-Bulk, functional PBE.

DOS at the Fermi energy in states/eV per atom: 0.5383
Total moment in μB/f.u.: 0.0
Calculated total energy in eV per atom: -5.6996
ΔE_f in eV/f.u.: 0.584

CIF file:
```
data_Hf2Mg3Ti2
_chemical_formula_sum 'Hf4 Mg6 Ti4'
_space_group_name_H-M_alt 'C m m m'
_space_group_IT_number 65
_space_group_name_Hall '-C 2 2'
_cell_length_a 2.995
_cell_length_b 33.364
_cell_length_c 2.980
_cell_angle_alpha 90.00
_cell_angle_beta 90.00
_cell_angle_gamma 90.00
loop_
_atom_site_label
_atom_site_fract_x
_atom_site_fract_y
_atom_site_fract_z
Hf1 0.000 0.206 0.000
Mg1 0.000 0.073 0.000
Mg2 0.000 0.500 0.500
Ti1 0.000 0.355 0.500
```


Record 2
Crystalline HfMg6Ti at its relaxed geometry. Source: Alexandria via LeMat-Bulk, functional PBE.

Energy relative to the lowest polymorph listed for this composition in kJ/mol of atoms: 3.8
DOS at the Fermi energy in states/eV per atom: 0.8729
Total moment in μB/f.u.: 2.4
Calculated total energy in eV per atom: -3.2538
ΔE_f in eV/f.u.: 1.385

CIF file:
```
data_HfMg6Ti
_chemical_formula_sum 'Hf2 Mg12 Ti2'
_space_group_name_H-M_alt 'A m m 2'
_space_group_IT_number 38
_cell_length_a 5.087
_cell_length_b 6.136
_cell_length_c 11.179
_cell_angle_alpha 90.00
_cell_angle_beta 90.00
_cell_angle_gamma 90.00
loop_
_space_group_symop_operation_xyz
'x,y,z'
'-x,-y,z'
'-x,y,z'
'x,-y,z'
'x,y+1/2,z+1/2'
'-x,-y+1/2,z+1/2'
'-x,y+1/2,z+1/2'
'x,-y+1/2,z+1/2'
loop_
_atom_site_label
_atom_site_fract_x
_atom_site_fract_y
_atom_site_fract_z
Hf1 0.000 0.000 0.000
Mg1 0.000 0.250 0.250
Mg2 0.500 0.000 0.158
Mg3 0.500 0.000 0.651
Mg4 0.500 0.249 0.415
Ti1 0.000 0.000 0.498
```


Record 3
Crystalline HfMg2Ti at its relaxed geometry. Source: Alexandria via LeMat-Bulk, functional PBE.

Energy relative to the lowest polymorph listed for this composition in kJ/mol of atoms: 18.0
DOS at the Fermi energy in states/eV per atom: 0.6195
Total moment in μB/f.u.: 0.0
Calculated total energy in eV per atom: -5.0067
ΔE_f in eV/f.u.: 1.011

CIF file:
```
data_HfMg2Ti
_chemical_formula_sum 'Hf4 Mg8 Ti4'
_space_group_name_H-M_alt 'F m -3 m'
_space_group_IT_number 225
_space_group_name_Hall '-F 4 2 3'
_cell_length_a 6.849
_cell_length_b 6.849
_cell_length_c 6.849
_cell_angle_alpha 90.00
_cell_angle_beta 90.00
_cell_angle_gamma 90.00
loop_
_atom_site_label
_atom_site_fract_x
_atom_site_fract_y
_atom_site_fract_z
Hf1 0.000 0.000 0.000
Mg1 0.250 0.250 0.250
Ti1 0.000 0.000 0.500
```